[1]
Below is a relaxed structure of LiYAl, with properties calculated at the PBE level.

a = 5.3075 Å, b = 5.3075 Å, c = 5.3075 Å
α = 145.19°, β = 127.90°, γ = 64.19°
Positions (direct):
Y 0.6596 0.6596 0.0000
Al 0.0047 0.0047 0.0000
Li 0.3357 0.3357 0.0000

Values from the calculation:
The symmetry is Imm2, No. 44. For the energy above the most stable polymorph in this dataset, the calculation gives 0.139 eV/atom.

=====

[2]
Below is a relaxed structure of LiY4Al, with properties calculated at the PBE level.

a = 6.3374 Å, b = 6.3374 Å, c = 6.3374 Å
α = 60.00°, β = 60.00°, γ = 60.00°
Positions (direct):
Y 0.3762 0.3762 0.8713
Y 0.8713 0.3762 0.3762
Y 0.3762 0.8713 0.3762
Y 0.3762 0.3762 0.3762
Al 0.7500 0.7500 0.7500
Li 0.0000 0.0000 0.0000

Values from the calculation:
The symmetry is F-43m, No. 216.

=====

[3]
Below is a relaxed structure of Li2Y3Al4, with properties calculated at the PBE level.

a = 4.6678 Å, b = 5.8327 Å, c = 8.8008 Å
α = 114.75°, β = 90.00°, γ = 113.59°
Positions (direct):
Al 0.7394 0.4788 0.0735
Al 0.9672 0.9345 0.6289
Al 0.0328 0.0655 0.3711
Al 0.2606 0.5212 0.9265
Y 0.3267 0.6534 0.3433
Y 0.0000 0.0000 0.0000
Y 0.6733 0.3466 0.6567
Li 0.4057 0.8114 0.7365
Li 0.5943 0.1886 0.2636

Values from the calculation:
The symmetry is C2/m, No. 12.

=====

[4]
Below is a relaxed structure of LiY2Al, with properties calculated at the PBE level.

a = 4.7910 Å, b = 3.4830 Å, c = 6.2177 Å
α = 73.78°, β = 90.00°, γ = 90.00°
Positions (direct):
Li 0.5000 0.5632 0.7496
Y 0.5000 0.2844 0.3058
Y 0.0000 0.9622 0.9509
Al 0.0000 0.6902 0.4937

Values from the calculation:
The symmetry is Amm2, No. 38.

=====

[5]
Below is a relaxed structure of LiY2Al, with properties calculated at the PBE level.

a = 3.3818 Å, b = 4.6884 Å, c = 6.3712 Å
α = 90.00°, β = 90.00°, γ = 90.00°
Positions (direct):
Li 0.5000 0.5000 0.7468
Al 0.0000 0.0000 0.4825
Y 0.5000 0.5000 0.2937
Y 0.0000 0.0000 0.9770

Values from the calculation:
The symmetry is Pmm2, No. 25.

=====

[6]
Below is a relaxed structure of Li2Y3Al, with properties calculated at the PBE level.

a = 5.1797 Å, b = 5.1797 Å, c = 12.7719 Å
α = 90.00°, β = 90.00°, γ = 120.00°
Positions (direct):
Li 0.6667 0.3333 0.8288
Li 0.3333 0.6667 0.1712
Li 0.0000 0.0000 0.0000
Li 0.0000 0.0000 0.5000
Al 0.3333 0.6667 0.6656
Al 0.6667 0.3333 0.3344
Y 0.3333 0.6667 0.4183
Y 0.6667 0.3333 0.0874
Y 0.0000 0.0000 0.7454
Y 0.0000 0.0000 0.2546
Y 0.6667 0.3333 0.5817
Y 0.3333 0.6667 0.9126

Values from the calculation:
The symmetry is P-3m1, No. 164.

=====

[7]
Below is a relaxed structure of LiY2Al3Zn4, with properties calculated at the PBE level.

a = 4.1909 Å, b = 4.1909 Å, c = 10.7326 Å
α = 90.00°, β = 90.00°, γ = 90.00°
Positions (direct):
Al 0.5000 0.0000 0.8621
Al 0.0000 0.0000 0.5000
Al 0.0000 0.5000 0.1379
Zn 0.0000 0.5000 0.3655
Zn 0.5000 0.0000 0.6345
Zn 0.5000 0.5000 0.0000
Zn 0.0000 0.0000 0.0000
Li 0.5000 0.5000 0.5000
Y 0.5000 0.0000 0.2438
Y 0.0000 0.5000 0.7562

Values from the calculation:
The symmetry is P-4m2, No. 115.

=====

[8]
Below is a relaxed structure of Li2YAl2Zn2, with properties calculated at the PBE level.

a = 4.4767 Å, b = 4.5072 Å, c = 7.4735 Å
α = 106.60°, β = 90.00°, γ = 119.78°
Positions (direct):
Al 0.5792 0.1583 0.7272
Al 0.4208 0.8417 0.2728
Li 0.1418 0.2837 0.4350
Li 0.8582 0.7163 0.5650
Zn 0.2683 0.5367 0.7964
Zn 0.7317 0.4633 0.2036
Y 0.0000 0.0000 0.0000

Values from the calculation:
The symmetry is C2/m, No. 12.

=====

[9]
Below is a relaxed structure of LiYAlZn2, with properties calculated at the PBE level.

a = 4.0937 Å, b = 4.0937 Å, c = 6.3188 Å
α = 108.90°, β = 108.90°, γ = 90.00°
Positions (direct):
Li 0.2500 0.7500 0.5000
Al 0.7500 0.2500 0.5000
Zn 0.6099 0.6099 0.2198
Zn 0.3901 0.3901 0.7802
Y 0.0000 0.0000 0.0000

Values from the calculation:
The symmetry is I-4m2, No. 119.

=====

[10]
Below is a relaxed structure of LiY4AlZn2, with properties calculated at the PBE level.

a = 5.1026 Å, b = 5.1026 Å, c = 8.8883 Å
α = 73.32°, β = 73.32°, γ = 60.00°
Positions (direct):
Li 0.0000 0.0000 0.0000
Y 0.3769 0.3769 0.8692
Y 0.6231 0.6231 0.1308
Y 0.1268 0.1268 0.6197
Y 0.8732 0.8732 0.3803
Al 0.5000 0.5000 0.5000
Zn 0.7470 0.7470 0.7591
Zn 0.2530 0.2530 0.2409

Values from the calculation:
The symmetry is R-3m, No. 166.

=====

[11]
Below is a relaxed structure of LiYb2Al, with properties calculated at the PBE level.

a = 5.3614 Å, b = 5.3614 Å, c = 5.3614 Å
α = 60.00°, β = 60.00°, γ = 60.00°
Positions (direct):
Yb 0.5000 0.5000 0.5000
Yb 0.0000 0.0000 0.0000
Li 0.7500 0.7500 0.7500
Al 0.2500 0.2500 0.2500

Values from the calculation:
The symmetry is Fm-3m, No. 225.

=====

[12]
Below is a relaxed structure of Li2Al5Zn12, with properties calculated at the PBE level.

a = 5.0754 Å, b = 8.2494 Å, c = 8.2494 Å
α = 66.53°, β = 74.77°, γ = 74.77°
Positions (direct):
Al 0.5000 0.0000 0.0000
Al 0.1390 0.6793 0.6793
Al 0.4317 0.2066 0.2066
Al 0.5683 0.7934 0.7934
Al 0.8610 0.3207 0.3207
Zn 0.5918 0.6440 0.1570
Zn 0.5918 0.1570 0.6440
Zn 0.9696 0.1038 0.1038
Zn 0.8047 0.9472 0.4497
Zn 0.4082 0.3560 0.8430
Zn 0.2677 0.4269 0.4269
Zn 0.0304 0.8962 0.8962
Zn 0.1953 0.5503 0.0528
Zn 0.7323 0.5731 0.5731
Zn 0.1953 0.0528 0.5503
Zn 0.8047 0.4497 0.9472
Zn 0.4082 0.8430 0.3560
Li 0.0000 0.2500 0.7500
Li 0.0000 0.7500 0.2500

Values from the calculation:
The symmetry is C2/m, No. 12.

=====

Number 1: density of states at the Fermi level 2.1 states/eV/cell, formation enthalpy at 0 K -8 kJ/mol of atoms. Number 2: density of states at the Fermi level 4.3 states/eV/cell, formation enthalpy at 0 K 40 kJ/mol of atoms. Number 3: density of states at the Fermi level 4.8 states/eV/cell, formation enthalpy at 0 K -33 kJ/mol of atoms. Number 4: density of states at the Fermi level 3.1 states/eV/cell, formation enthalpy at 0 K -14 kJ/mol of atoms. Number 5: density of states at the Fermi level 2.6 states/eV/cell, formation enthalpy at 0 K -4 kJ/mol of atoms. Number 6: density of states at the Fermi level 13.0 states/eV/cell, formation enthalpy at 0 K -11 kJ/mol of atoms. Number 7: density of states at the Fermi level 6.7 states/eV/cell, formation enthalpy at 0 K -31 kJ/mol of atoms. Number 8: density of states at the Fermi level 2.2 states/eV/cell, formation enthalpy at 0 K -29 kJ/mol of atoms. Number 9: density of states at the Fermi level 2.7 states/eV/cell, formation enthalpy at 0 K -28 kJ/mol of atoms. Number 10: density of states at the Fermi level 8.0 states/eV/cell, formation enthalpy at 0 K -26 kJ/mol of atoms. Number 11: density of states at the Fermi level 3.7 states/eV/cell, formation enthalpy at 0 K -10 kJ/mol of atoms. Number 12: density of states at the Fermi level 4.3 states/eV/cell, formation enthalpy at 0 K 0 kJ/mol of atoms.